Entry 1:
Below is an optimized crystal structure of Ce4SmY3S8, with properties calculated at the PBE-GGA level.

a b c (Å): 7.9434 7.9434 19.6344
angles (deg): 90.00 90.00 120.00
Space group R-3m (No. 166, hexagonal axes)
Unique sites:
Ce (0.0000, 0.0000, 0.0000) [3 per cell]
Ce (0.0000, 0.5000, 0.0000) [9 per cell]
Sm (0.0000, 0.0000, 0.5000) [3 per cell]
Y (0.0000, 0.5000, 0.5000) [9 per cell]
S (0.0000, 0.0000, 0.2464) [6 per cell]
S (0.0040, 0.5020, 0.7526) [18 per cell]

Computed properties:
- Calculated total energy: -7.087 eV per atom
- N(E_F): 1.37 states/eV/atom
- Spin magnetization: 8.58 Bohr magnetons per cell



Entry 2:
Below is an optimized crystal structure of Nd3Ga2Ni9Sn, with properties calculated at the PBE-GGA level.

a b c (Å): 6.0380 6.0380 9.0022
angles (deg): 90.00 90.00 120.00
Space group P-3m1 (No. 164)
Unique sites:
Nd (0.0000, 0.0000, 0.0000) [1 per cell]
Nd (0.3333, 0.6667, 0.7115) [2 per cell]
Ga (0.3333, 0.6667, 0.1772) [2 per cell]
Ni (0.0000, 0.5000, 0.0000) [3 per cell]
Ni (0.1335, 0.2669, 0.2682) [6 per cell]
Sn (0.0000, 0.0000, 0.5000) [1 per cell]

Computed properties:
- Calculated total energy: -5.198 eV per atom
- N(E_F): 0.68 states/eV/atom
- Spin magnetization: 0.00 Bohr magnetons per cell
- ΔH_f (0 K): -0.10 eV/atom



Entry 3:
Below is an optimized crystal structure of YZrSe, with properties calculated at the PBE-GGA level.

a b c (Å): 3.6985 3.6985 6.2749
angles (deg): 90.00 90.00 120.00
Space group P3m1 (No. 156)
Unique sites:
Y (0.0000, 0.0000, 0.0000) [1 per cell]
Zr (0.3333, 0.6667, 0.4137) [1 per cell]
Se (0.6667, 0.3333, 0.6872) [1 per cell]

Computed properties:
- Calculated total energy: -7.094 eV per atom
- N(E_F): 0.99 states/eV/atom
- Spin magnetization: 0.46 Bohr magnetons per cell



Entry 4:
Below is an optimized crystal structure of ZnCuRuAu, with properties calculated at the PBE-GGA level.

a b c (Å): 6.134 6.134 6.134
angles (deg): 90.00 90.00 90.00
Space group F-43m (No. 216)
Unique sites:
Zn (0.000, 0.000, 0.000) [4 per cell]
Cu (0.000, 0.000, 0.500) [4 per cell]
Ru (0.250, 0.250, 0.750) [4 per cell]
Au (0.250, 0.250, 0.250) [4 per cell]

Computed properties:
- Calculated total energy: -4.366 eV per atom
- N(E_F): 1.23 states/eV/atom
- Spin magnetization: 3.26 Bohr magnetons per cell
- ΔH_f (0 K): 0.11 eV/atom